A relaxed Pm3Dy6Er2In crystal. Source: Alexandria, functional GGA-PBE.

abc: 6.132 10.624 11.631
angles: 90.00 100.16 90.00
Space group C2/m (No. 12)
One atom of each set of equivalent atoms:
Pm: 0.000 0.000 0.000 (multiplicity 2)
Pm: 0.000 0.333 0.000 (multiplicity 4)
Dy: 0.244 0.336 0.743 (multiplicity 8)
Dy: 0.248 0.500 0.256 (multiplicity 4)
Er: 0.000 0.166 0.500 (multiplicity 4)
In: 0.000 0.500 0.500 (multiplicity 2)

Properties
Volume = 373 Å³/f.u.
Total moment = 0.03 Bohr magnetons per cell
ΔH_f (0 K) = -0.44 eV per formula unit

---

A relaxed Sr2Ag2I crystal. Source: Alexandria, functional GGA-PBE.

abc: 8.895 8.895 4.081
angles: 90.00 90.00 90.00
Space group P4/mbm (No. 127)
One atom of each set of equivalent atoms:
Sr: 0.178 0.322 0.000 (multiplicity 4)
Ag: 0.112 0.612 0.500 (multiplicity 4)
I: 0.000 0.000 0.500 (multiplicity 2)

Properties
E above lowest polymorph = 13 kJ/mol of formula units
E_form (uncorrected) = -0.510 eV per atom
Volume = 161 Å³/f.u.
Total moment = 0.00 Bohr magnetons per cell

---

A relaxed Th2Ga4Pd3Rh crystal. Source: Alexandria, functional GGA-PBE.

abc: 4.268 4.268 10.500
angles: 90.00 90.00 90.00
Space group P-4m2 (No. 115)
One atom of each set of equivalent atoms:
Th: 0.000 0.500 0.250 (multiplicity 2)
Ga: 0.000 0.000 0.000 (multiplicity 1)
Ga: 0.000 0.500 0.629 (multiplicity 2)
Ga: 0.500 0.500 0.000 (multiplicity 1)
Pd: 0.000 0.500 0.865 (multiplicity 2)
Pd: 0.500 0.500 0.500 (multiplicity 1)
Rh: 0.000 0.000 0.500 (multiplicity 1)

Properties
Volume = 191 Å³/f.u.
Total moment = 0.00 Bohr magnetons per cell
ΔH_f (0 K) = -7.86 eV per formula unit

---

A relaxed KYAl crystal. Source: Alexandria, functional GGA-PBE.

abc: 7.609 7.609 7.609
angles: 90.00 90.00 90.00
Space group F-43m (No. 216)
One atom of each set of equivalent atoms:
K: 0.000 0.000 0.000 (multiplicity 4)
Y: 0.000 0.000 0.500 (multiplicity 4)
Al: 0.250 0.250 0.750 (multiplicity 4)

Properties
E above lowest polymorph = 185 kJ/mol of formula units
Volume = 110 Å³/f.u.
Total moment = 0.01 Bohr magnetons per cell
ΔH_f (0 K) = 1.58 eV per formula unit